Entry 1:
## YMg2Cr3S8 (PBE)

Data for a relaxed YMg2Cr3S8 crystal.

POSCAR file:
```
YMg2Cr3S8
1.0
3.677 2.123 6.084
-3.677 2.123 6.084
0.000 -4.246 6.084
Y Mg Cr S
1 2 3 8
Direct
0.000 0.000 0.000
0.376 0.376 0.376
0.624 0.624 0.624
0.000 0.000 0.500
0.000 0.500 0.000
0.500 0.000 0.000
0.220 0.745 0.745
0.237 0.237 0.237
0.255 0.255 0.780
0.255 0.780 0.255
0.745 0.220 0.745
0.745 0.745 0.220
0.763 0.763 0.763
0.780 0.255 0.255
```

Computed properties:
* SG: R-3m
* crystal system: trigonal
* formation energy from raw total energies: -107.1 kJ/mol of atoms
* total magnetic moment: 9.00 μB per cell



Entry 2:
## Mg2CrSb (PBE)

Data for a relaxed Mg2CrSb crystal.

POSCAR file:
```
Mg2CrSb
1.0
-2.109 2.109 4.649
2.109 -2.109 4.649
2.109 2.109 -4.649
Mg Cr Sb
2 1 1
Direct
0.250 0.750 0.500
0.750 0.250 0.500
0.000 0.000 0.000
0.500 0.500 0.000
```

Computed properties:
* SG: I4/mmm
* ΔE to the lowest computed polymorph: 0.064 eV per atom
* crystal system: tetragonal
* formation energy from raw total energies: 9.5 kJ/mol of atoms
* total magnetic moment: 3.97 μB per cell



Entry 3:
## MgCr2Sb (PBE)

Data for a relaxed MgCr2Sb crystal.

POSCAR file:
```
MgCr2Sb
1.0
3.342 0.000 0.000
0.000 3.935 0.000
0.000 0.000 5.736
Mg Cr Sb
1 2 1
Direct
0.000 0.000 0.000
0.000 0.000 0.513
0.500 0.500 0.786
0.500 0.500 0.307
```

Computed properties:
* SG: Pmm2
* crystal system: orthorhombic
* formation energy from raw total energies: 42.6 kJ/mol of atoms
* total magnetic moment: 6.85 μB per cell



Entry 4:
## MgCrSb2 (PBE)

Data for a relaxed MgCrSb2 crystal.

POSCAR file:
```
MgCrSb2
1.0
0.000 3.605 3.605
3.605 0.000 3.605
3.605 3.605 0.000
Mg Cr Sb
1 1 2
Direct
0.000 0.000 0.000
0.250 0.250 0.250
0.500 0.500 0.500
0.750 0.750 0.750
```

Computed properties:
* SG: F-43m
* ΔE to the lowest computed polymorph: 0.373 eV per atom
* crystal system: cubic
* formation energy from raw total energies: 36.1 kJ/mol of atoms
* total magnetic moment: 4.04 μB per cell